! Sm8PPt3Se4, optimized geometry, DFT PBE; values from VASP
! Uncorrected formation energy   -24.08 eV per formula unit
! SG   R-3m
! M_tot   0.0 μB per formula unit
&SYSTEM
  ibrav = 0, nat = 16, ntyp = 4
/
ATOMIC_SPECIES
Sm 150.36 Sm.upf
P 30.97 P.upf
Pt 195.08 Pt.upf
Se 78.96 Se.upf
CELL_PARAMETERS angstrom
-3.770 -7.285 0.714
2.555 -2.094 -7.871
5.655 2.269 5.538
ATOMIC_POSITIONS angstrom
Sm 6.559 -1.076 -0.128
Sm 3.726 -2.213 -2.902
Sm 2.614 -1.263 0.910
Sm 4.671 -4.726 0.230
Sm -0.230 -2.384 -1.848
Sm 1.827 -5.846 -2.528
Sm 0.714 -4.897 1.284
Sm -2.119 -6.033 -1.491
P 1.278 -1.047 -3.935
Pt -0.607 -4.689 -3.578
Pt 2.220 -3.555 -0.809
Pt 4.105 0.088 -1.166
Se -1.885 -3.642 0.357
Se 0.943 -2.508 3.126
Se 0.000 0.000 0.000
Se 2.827 1.135 2.769